No. 1
A plane-wave DFT calculation with PBE-GGA was carried out for CaBi2Pd after structural relaxation.

Results
- space-group type = P4/mmm
- calculated volume (Å³/atom) = 25.60
- total moment (μB per atom) = 0.000
- calculated formation energy (meV/atom) = -417

Cell: 4.8103 4.8103 4.4255 Å, 90.00 90.00 90.00°
Positions (direct):
Ca: 0.0000 0.0000 0.0000
Bi: 0.0000 0.5000 0.5000
Bi: 0.5000 0.0000 0.5000
Pd: 0.5000 0.5000 0.0000

No. 2
A plane-wave DFT calculation with PBE-GGA was carried out for Ru2PbF8 after structural relaxation.

Results
- space-group type = P-3
- calculated volume (Å³/atom) = 17.58
- total moment (μB per atom) = 0.729
- formation energy without anion corrections (eV/atom) = -1.552

Cell: 7.3507 7.3507 4.1331 Å, 90.00 90.00 120.00°
Positions (direct):
Ru: 0.3333 0.6667 0.2666
Ru: 0.6667 0.3333 0.7334
Pb: 0.0000 0.0000 0.0000
F: 0.1719 0.8248 0.2662
F: 0.1752 0.3471 0.2662
F: 0.3333 0.6667 0.7665
F: 0.3471 0.1719 0.7338
F: 0.6529 0.8281 0.2662
F: 0.6667 0.3333 0.2335
F: 0.8248 0.6529 0.7338
F: 0.8281 0.1752 0.7338

No. 3
A plane-wave DFT calculation with PBE-GGA was carried out for Cs2RbUI6 after structural relaxation.

Results
- space-group type = Pmmn
- calculated volume (Å³/atom) = 59.93
- total moment (μB per atom) = 0.300
- formation energy without anion corrections (eV/atom) = -1.246

Cell: 8.8940 13.2200 10.1940 Å, 90.00 90.00 90.00°
Positions (direct):
Cs: 0.2500 0.0489 0.1747
Cs: 0.2500 0.4511 0.1747
Cs: 0.7500 0.5489 0.8253
Cs: 0.7500 0.9511 0.8253
Rb: 0.2500 0.2500 0.6927
Rb: 0.7500 0.7500 0.3073
U: 0.2500 0.7500 0.7998
U: 0.7500 0.2500 0.2002
I: 0.0094 0.7500 0.0259
I: 0.0107 0.2500 0.4040
I: 0.2500 0.5132 0.7980
I: 0.2500 0.9868 0.7980
I: 0.4893 0.2500 0.4040
I: 0.4906 0.7500 0.0259
I: 0.5094 0.2500 0.9741
I: 0.5107 0.7500 0.5960
I: 0.7500 0.0132 0.2020
I: 0.7500 0.4868 0.2020
I: 0.9893 0.7500 0.5960
I: 0.9906 0.2500 0.9741

No. 4
A plane-wave DFT calculation with PBE-GGA was carried out for Li2PuCd3 after structural relaxation.

Results
- space-group type = P4/mmm
- calculated volume (Å³/atom) = 20.36
- total moment (μB per atom) = 0.977
- calculated formation energy (meV/atom) = -177

Cell: 3.1878 3.1878 12.0199 Å, 90.00 90.00 90.00°
Positions (direct):
Li: 0.0000 0.0000 0.1482
Li: 0.0000 0.0000 0.8518
Pu: 0.0000 0.0000 0.5000
Cd: 0.5000 0.5000 0.0000
Cd: 0.5000 0.5000 0.2956
Cd: 0.5000 0.5000 0.7044

No. 5
A plane-wave DFT calculation with PBE-GGA was carried out for NdEr2Tm2 after structural relaxation.

Results
- space-group type = Amm2
- calculated volume (Å³/atom) = 32.10
- total moment (μB per atom) = 0.000
- calculated formation energy (meV/atom) = 121
- excess energy over the best structure of this formula in the dataset (eV/atom) = 0.036

Cell: 3.4853 8.6092 8.6092 Å, 38.41 90.00 90.00°
Positions (direct):
Nd: 0.0000 0.0000 0.0000
Er: 0.0000 0.3812 0.3812
Er: 0.5000 0.5737 0.5737
Tm: 0.0000 0.7617 0.7617
Tm: 0.5000 0.1929 0.1929

No. 6
A plane-wave DFT calculation with PBE-GGA was carried out for Tb2Pm3Pr4 after structural relaxation.

Results
- space-group type = P-1
- calculated volume (Å³/atom) = 34.67
- total moment (μB per atom) = 0.000
- calculated formation energy (meV/atom) = 14
- excess energy over the best structure of this formula in the dataset (eV/atom) = 0.000

Cell: 6.3358 6.3377 9.6765 Å, 90.05 108.93 119.98°
Positions (direct):
Tb: 0.2241 0.2790 0.3349
Tb: 0.7759 0.7210 0.6651
Pm: 0.0000 0.5000 0.0000
Pm: 0.4448 0.0564 0.6651
Pm: 0.5552 0.9436 0.3349
Pr: 0.1107 0.3884 0.6654
Pr: 0.3317 0.1655 0.9999
Pr: 0.6683 0.8345 0.0001
Pr: 0.8893 0.6116 0.3346

No. 7
A plane-wave DFT calculation with PBE-GGA was carried out for SmScTeAs after structural relaxation.

Results
- space-group type = R3m
- calculated volume (Å³/atom) = 26.12
- total moment (μB per atom) = 0.000
- formation energy without anion corrections (eV/atom) = -1.353

Cell: 7.6137 7.6137 7.6137 Å, 31.10 31.10 31.10°
Positions (direct):
Sm: 0.0000 0.0000 0.0000
Sc: 0.1899 0.1899 0.1899
Te: 0.4333 0.4333 0.4333
As: 0.5900 0.5900 0.5900

No. 8
A plane-wave DFT calculation with PBE-GGA was carried out for PrY5Al4 after structural relaxation.

Results
- space-group type = P4/mmm
- calculated volume (Å³/atom) = 25.69
- total moment (μB per atom) = 0.000
- calculated formation energy (meV/atom) = -331

Cell: 3.5863 3.5863 19.9709 Å, 90.00 90.00 90.00°
Positions (direct):
Pr: 0.0000 0.0000 0.0000
Y: 0.5000 0.5000 0.1348
Y: 0.5000 0.5000 0.3176
Y: 0.5000 0.5000 0.5000
Y: 0.5000 0.5000 0.6824
Y: 0.5000 0.5000 0.8652
Al: 0.0000 0.0000 0.2250
Al: 0.0000 0.0000 0.4085
Al: 0.0000 0.0000 0.5915
Al: 0.0000 0.0000 0.7750